KHoSn4: relaxed, PBE.

- crystal system = cubic
- DFT formation energy (meV/atom) = -203
- uncorrected energy (eV/atom) = -3.82
- N(E_F) (states/eV per atom) = 0.20
- calculated volume (Å³/cell) = 700

a b c (Å): 8.8799 8.8799 8.8799
angles (deg): 90.00 90.00 90.00
Last column: nearest neighbours and their distance in Å.
Space group F-43m (No. 216)
Symmetry-distinct sites (fractional):
1 K 0.0000 0.0000 0.0000 [4 per cell]  12 Sn 3.68, 4 Ho 3.85
2 Ho 0.2500 0.2500 0.2500 [4 per cell]  12 Sn 3.68, 4 K 3.85
3 Sn 0.1241 0.1241 0.6241 [16 per cell]  6 Sn 3.12-3.16

KHoSnTe3: relaxed, PBE.

- crystal system = orthorhombic
- uncorrected energy (eV/atom) = -4.05
- energy relative to the elements, uncorrected (meV per atom) = -869
- calculated volume (Å³/cell) = 963

a b c (Å): 4.3538 17.4890 12.6446
angles (deg): 90.00 90.00 90.00
Last column: nearest neighbours and their distance in Å.
Space group Cmcm (No. 63)
Symmetry-distinct sites (fractional):
1 K 0.0000 0.1940 0.2500 [4 per cell]  2 Te 3.41
2 Ho 0.0000 0.5000 0.0000 [4 per cell]  6 Te 3.05-3.16
3 Sn 0.0000 0.1163 0.7500 [4 per cell]  4 Te 2.96-3.15
4 Te 0.0000 0.1224 0.5008 [8 per cell]  2 Ho 3.05, 1 Sn 3.15, 1 K 3.41
5 Te 0.0000 0.4982 0.2500 [4 per cell]  2 Sn 2.96, 2 Ho 3.16

KHo2Sn3Te6: relaxed, PBE.

- crystal system = monoclinic
- uncorrected energy (eV/atom) = -4.15
- energy relative to the elements, uncorrected (meV per atom) = -729
- N(E_F) (states/eV per atom) = 0.40
- calculated volume (Å³/cell) = 806

a b c (Å): 19.7102 4.4171 9.4742
angles (deg): 90.00 102.36 90.00
Last column: nearest neighbours and their distance in Å.
Space group C2/m (No. 12)
Symmetry-distinct sites (fractional):
1 K 0.0000 0.0000 0.0000 [2 per cell]  6 Te 3.37-3.51
2 Ho 0.1698 0.5000 0.3433 [4 per cell]  6 Te 3.02-3.14
3 Sn 0.0000 0.0000 0.5000 [2 per cell]  6 Te 3.13-3.23
4 Sn 0.1585 0.5000 0.8406 [4 per cell]  6 Te 3.10-3.37
5 Te 0.0129 0.5000 0.2734 [4 per cell]  1 Ho 3.02, 3 Sn 3.13-3.32, 2 K 3.37
6 Te 0.1680 0.0000 0.5785 [4 per cell]  3 Ho 3.12-3.14, 3 Sn 3.23-3.36
7 Te 0.1812 0.0000 0.1156 [4 per cell]  3 Sn 3.10-3.37, 2 Ho 3.13

K3Ho2SnTe6: relaxed, PBE.

- crystal system = monoclinic
- uncorrected energy (eV/atom) = -4.04
- energy relative to the elements, uncorrected (meV per atom) = -1096
- N(E_F) (states/eV per atom) = 0.33
- calculated volume (Å³/cell) = 867

a b c (Å): 7.7968 13.5050 8.6375
angles (deg): 90.00 107.51 90.00
Last column: nearest neighbours and their distance in Å.
Space group C2/m (No. 12)
Symmetry-distinct sites (fractional):
1 K 0.0000 0.0000 0.0000 [2 per cell]  6 Te 3.54-3.56
2 K 0.0000 0.3342 0.0000 [4 per cell]  6 Te 3.55-3.56
3 Ho 0.0000 0.1668 0.5000 [4 per cell]  6 Te 3.10
4 Sn 0.0000 0.5000 0.5000 [2 per cell]  6 Te 3.11
5 Te 0.2335 0.0000 0.7058 [4 per cell]  2 Ho 3.10, 1 Sn 3.11
6 Te 0.2362 0.3325 0.7059 [8 per cell]  2 Ho 3.10, 1 Sn 3.11

K3Ho3SnTe8: relaxed, PBE.

- crystal system = monoclinic
- uncorrected energy (eV/atom) = -4.18
- energy relative to the elements, uncorrected (meV per atom) = -1106
- N(E_F) (states/eV per atom) = 0.24
- calculated volume (Å³/cell) = 1135

a b c (Å): 15.2647 8.7921 9.8703
angles (deg): 90.00 121.07 90.00
Last column: nearest neighbours and their distance in Å.
Space group C2/m (No. 12)
Symmetry-distinct sites (fractional):
1 K 0.0000 0.0000 0.0000 [2 per cell]  6 Te 3.55-3.56
2 K 0.2500 0.2500 0.0000 [4 per cell]  6 Te 3.54-3.56
3 Ho 0.0000 0.5000 0.5000 [2 per cell]  6 Te 3.08-3.09
4 Ho 0.2500 0.2500 0.5000 [4 per cell]  6 Te 3.08-3.09
5 Sn 0.0000 0.0000 0.5000 [2 per cell]  6 Te 3.05
6 Te 0.0146 0.2473 0.2964 [8 per cell]  1 Sn 3.05, 2 Ho 3.08
7 Te 0.2330 0.0000 0.7037 [4 per cell]  1 Sn 3.05, 2 Ho 3.08
8 Te 0.2359 0.5000 0.7078 [4 per cell]  3 Ho 3.09

K2HoSnTe4: relaxed, PBE.

- crystal system = monoclinic
- uncorrected energy (eV/atom) = -3.88
- energy relative to the elements, uncorrected (meV per atom) = -960
- N(E_F) (states/eV per atom) = 0.35
- calculated volume (Å³/cell) = 289

a b c (Å): 7.8668 4.4438 8.6522
angles (deg): 90.00 107.01 90.00
Last column: nearest neighbours and their distance in Å.
Space group P2/m (No. 10)
Symmetry-distinct sites (fractional):
1 K 0.0000 0.0000 0.0000 [1 per cell]  6 Te 3.55
2 K 0.5000 0.5000 0.0000 [1 per cell]  6 Te 3.56-3.58
3 Ho 0.0000 0.5000 0.5000 [1 per cell]  6 Te 3.09
4 Sn 0.5000 0.0000 0.5000 [1 per cell]  6 Te 3.11-3.12
5 Te 0.2335 0.0000 0.7056 [2 per cell]  2 Ho 3.09, 1 Sn 3.12
6 Te 0.2619 0.5000 0.2949 [2 per cell]  1 Ho 3.09, 2 Sn 3.11

KTbHo2: relaxed, PBE.

- crystal system = trigonal
- DFT formation energy (meV/atom) = 249
- uncorrected energy (eV/atom) = -3.47
- N(E_F) (states/eV per atom) = 1.08
- calculated volume (Å³/cell) = 436

a b c (Å): 3.5679 3.5679 39.5895
angles (deg): 90.00 90.00 120.00
Last column: nearest neighbours and their distance in Å.
Space group R-3m (No. 166, hexagonal axes)
Symmetry-distinct sites (fractional):
1 K 0.0000 0.0000 0.0000 [3 per cell]  6 K 3.57, 2 Ho 3.79
2 Tb 0.0000 0.0000 0.5000 [3 per cell]  6 Ho 3.48, 6 Tb 3.57
3 Ho 0.0000 0.0000 0.0957 [6 per cell]  3 Tb 3.48, 6 Ho 3.57, 1 K 3.79

K4TbHo3Te8: relaxed, PBE.

- crystal system = trigonal
- uncorrected energy (eV/atom) = -4.39
- energy relative to the elements, uncorrected (meV per atom) = -1393
- calculated volume (Å³/cell) = 1725

a b c (Å): 8.9753 8.9753 24.7311
angles (deg): 90.00 90.00 120.00
Last column: nearest neighbours and their distance in Å.
Space group R-3m (No. 166, hexagonal axes)
Symmetry-distinct sites (fractional):
1 K 0.0000 0.0000 0.0000 [3 per cell]  6 Te 3.53
2 K 0.0000 0.5000 0.0000 [9 per cell]  6 Te 3.54
3 Tb 0.0000 0.0000 0.5000 [3 per cell]  6 Te 3.12
4 Ho 0.0000 0.5000 0.5000 [9 per cell]  6 Te 3.10
5 Te 0.0000 0.0000 0.2358 [6 per cell]  3 Ho 3.10
6 Te 0.0017 0.5009 0.7639 [18 per cell]  2 Ho 3.10, 1 Tb 3.12

K4Tb3HoTe8: relaxed, PBE.

- crystal system = trigonal
- uncorrected energy (eV/atom) = -4.40
- energy relative to the elements, uncorrected (meV per atom) = -1400
- calculated volume (Å³/cell) = 1737

a b c (Å): 9.0060 9.0060 24.7329
angles (deg): 90.00 90.00 120.00
Last column: nearest neighbours and their distance in Å.
Space group R-3m (No. 166, hexagonal axes)
Symmetry-distinct sites (fractional):
1 K 0.0000 0.0000 0.0000 [3 per cell]  6 Te 3.55
2 K 0.0000 0.5000 0.0000 [9 per cell]  6 Te 3.53
3 Tb 0.0000 0.5000 0.5000 [9 per cell]  6 Te 3.12
4 Ho 0.0000 0.0000 0.5000 [3 per cell]  6 Te 3.11
5 Te 0.0000 0.0000 0.2365 [6 per cell]  3 Tb 3.12
6 Te 0.0018 0.5009 0.2362 [18 per cell]  1 Ho 3.11, 2 Tb 3.12

K2TbHoTe4: relaxed, PBE.

- crystal system = monoclinic
- uncorrected energy (eV/atom) = -4.39
- energy relative to the elements, uncorrected (meV per atom) = -1396
- calculated volume (Å³/cell) = 288

a b c (Å): 7.7851 4.4958 8.6406
angles (deg): 90.00 107.48 90.00
Last column: nearest neighbours and their distance in Å.
Space group P2/m (No. 10)
Symmetry-distinct sites (fractional):
1 K 0.0000 0.0000 0.0000 [1 per cell]  6 Te 3.54
2 K 0.5000 0.5000 0.0000 [1 per cell]  6 Te 3.53
3 Tb 0.0000 0.5000 0.5000 [1 per cell]  6 Te 3.12
4 Ho 0.5000 0.0000 0.5000 [1 per cell]  6 Te 3.10
5 Te 0.2379 0.0000 0.7089 [2 per cell]  1 Ho 3.10, 2 Tb 3.12
6 Te 0.2658 0.5000 0.2920 [2 per cell]  2 Ho 3.10, 1 Tb 3.12

K2Ho3Te6: relaxed, PBE.

- crystal system = monoclinic
- uncorrected energy (eV/atom) = -4.45
- energy relative to the elements, uncorrected (meV per atom) = -1289
- N(E_F) (states/eV per atom) = 0.45
- calculated volume (Å³/cell) = 843

a b c (Å): 7.5159 13.0151 8.9743
angles (deg): 90.00 106.22 90.00
Last column: nearest neighbours and their distance in Å.
Space group C2/m (No. 12)
Symmetry-distinct sites (fractional):
1 K 0.0000 0.1666 0.0000 [4 per cell]  6 Te 3.56
2 Ho 0.0000 0.0000 0.5000 [2 per cell]  6 Te 3.07-3.09
3 Ho 0.0000 0.3324 0.5000 [4 per cell]  6 Te 3.07-3.08
4 Te 0.2332 0.5000 0.7067 [4 per cell]  3 Ho 3.07-3.09
5 Te 0.2371 0.1655 0.7077 [8 per cell]  3 Ho 3.07-3.08

KHoTe4: relaxed, PBE.

- crystal system = tetragonal
- uncorrected energy (eV/atom) = -3.96
- energy relative to the elements, uncorrected (meV per atom) = -917
- N(E_F) (states/eV per atom) = 0.13
- calculated volume (Å³/cell) = 416

a b c (Å): 6.8352 6.8352 8.9000
angles (deg): 90.00 90.00 90.00
Last column: nearest neighbours and their distance in Å.
Space group P4/nbm (No. 125, origin choice 2)
Symmetry-distinct sites (fractional):
1 K 0.2500 0.2500 0.0000 [2 per cell]  8 Te 3.70
2 Ho 0.2500 0.2500 0.5000 [2 per cell]  8 Te 3.20
3 Te 0.1031 0.6031 0.2936 [8 per cell]  1 Te 2.84

> Among the records above, which one has the highest uncorrected energy?

KTbHo2